# 1
The following is a DFT calculation (PBE-GGA) of BaZrNiSe2 after structural relaxation.

```
data_BaZrNiSe2
_symmetry_space_group_name_H-M 'P 4/m m m'
_symmetry_Int_Tables_number 123
_symmetry_space_group_name_Hall '-P 4 2'
_cell_length_a 5.228
_cell_length_b 5.228
_cell_length_c 4.636
_cell_angle_alpha 90.00
_cell_angle_beta 90.00
_cell_angle_gamma 90.00
loop_
_atom_site_label
_atom_site_fract_x
_atom_site_fract_y
_atom_site_fract_z
Ba1 0.000 0.000 0.000
Zr1 0.500 0.500 0.000
Ni1 0.500 0.500 0.500
Se1 0.000 0.500 0.500
```

=====

# 2
The following is a DFT calculation (PBE-GGA) of BaSiNi after structural relaxation.

```
data_BaSiNi
_symmetry_space_group_name_H-M 'F -4 3 m'
_symmetry_Int_Tables_number 216
_symmetry_space_group_name_Hall 'F -4 2 3'
_cell_length_a 7.127
_cell_length_b 7.127
_cell_length_c 7.127
_cell_angle_alpha 90.00
_cell_angle_beta 90.00
_cell_angle_gamma 90.00
loop_
_atom_site_label
_atom_site_fract_x
_atom_site_fract_y
_atom_site_fract_z
Ba1 0.000 0.000 0.000
Si1 0.250 0.250 0.250
Ni1 0.250 0.250 0.750
```

=====

# 3
The following is a DFT calculation (PBE-GGA) of Ba2SiNi after structural relaxation.

```
data_Ba2SiNi
_symmetry_space_group_name_H-M 'F -4 3 m'
_symmetry_Int_Tables_number 216
_symmetry_space_group_name_Hall 'F -4 2 3'
_cell_length_a 7.509
_cell_length_b 7.509
_cell_length_c 7.509
_cell_angle_alpha 90.00
_cell_angle_beta 90.00
_cell_angle_gamma 90.00
loop_
_atom_site_label
_atom_site_fract_x
_atom_site_fract_y
_atom_site_fract_z
Ba1 0.000 0.000 0.000
Ba2 0.250 0.250 0.250
Si1 0.000 0.000 0.500
Ni1 0.250 0.250 0.750
```

=====

# 4
The following is a DFT calculation (PBE-GGA) of BaSiNi after structural relaxation.

```
data_BaSiNi
_symmetry_space_group_name_H-M 'F -4 3 m'
_symmetry_Int_Tables_number 216
_symmetry_space_group_name_Hall 'F -4 2 3'
_cell_length_a 6.699
_cell_length_b 6.699
_cell_length_c 6.699
_cell_angle_alpha 90.00
_cell_angle_beta 90.00
_cell_angle_gamma 90.00
loop_
_atom_site_label
_atom_site_fract_x
_atom_site_fract_y
_atom_site_fract_z
Ba1 0.000 0.000 0.000
Si1 0.000 0.000 0.500
Ni1 0.250 0.250 0.750
```

=====

Here are the calculated theoretical density numbers, same order: 5.835 4.113 5.670 4.950 (g/cm³).
Here are the calculated E_form (uncorrected) numbers, same order: -0.34 1.06 0.23 0.30 (eV/atom).